Below is a relaxed Tb12ZnPd6 crystal, with properties calculated at the PBE level.

* DFT total energy: -96.16 eV for the cell shown
* energy relative to the elements: -41 kJ/mol of atoms
* size of the total moment: 0.00 μB per cell
* DOS(E_F): 19.761 states/eV per cell
* calculated volume: 28.6 Å³/atom
* mass density: 7.97 Mg/m³
* space group: R-3 (148)

abc: 8.390 8.390 8.390
angles: 102.16 102.16 102.16
Fractional positions:
Tb1 0.828 0.589 0.436
Tb2 0.436 0.828 0.589
Tb3 0.589 0.436 0.828
Tb4 0.172 0.411 0.564
Tb5 0.564 0.172 0.411
Tb6 0.411 0.564 0.172
Tb7 0.076 0.942 0.326
Tb8 0.058 0.674 0.924
Tb9 0.674 0.924 0.058
Tb10 0.924 0.058 0.674
Tb11 0.942 0.326 0.076
Tb12 0.326 0.076 0.942
Zn1 0.000 0.000 0.000
Pd1 0.682 0.860 0.379
Pd2 0.621 0.318 0.140
Pd3 0.140 0.621 0.318
Pd4 0.318 0.140 0.621
Pd5 0.379 0.682 0.860
Pd6 0.860 0.379 0.682

=====

Below is a relaxed Tb8Zn2Pd crystal, with properties calculated at the PBE level.

* DFT total energy: -47.42 eV for the cell shown
* energy relative to the elements: -23 kJ/mol of atoms
* size of the total moment: 0.00 μB per cell
* DOS(E_F): 10.195 states/eV per cell
* calculated volume: 27.0 Å³/atom
* mass density: 8.43 Mg/m³
* space group: C2/m (12)

abc: 5.093 6.755 9.212
angles: 102.02 106.05 90.00
Fractional positions:
Tb1 0.409 0.550 0.819
Tb2 0.660 0.967 0.319
Tb3 0.797 0.679 0.595
Tb4 0.973 0.226 0.946
Tb5 0.203 0.321 0.405
Tb6 0.340 0.033 0.681
Tb7 0.591 0.450 0.181
Tb8 0.027 0.774 0.054
Zn1 0.808 0.261 0.617
Zn2 0.192 0.739 0.383
Pd1 0.500 0.000 0.000

=====

Below is a relaxed TbZn6Pd6 crystal, with properties calculated at the PBE level.

* DFT total energy: -50.60 eV for the cell shown
* energy relative to the elements: -53 kJ/mol of atoms
* size of the total moment: 0.00 μB per cell
* DOS(E_F): 4.958 states/eV per cell
* calculated volume: 15.7 Å³/atom
* mass density: 9.70 Mg/m³
* space group: Immm (71)

abc: 5.212 6.774 6.774
angles: 81.28 67.38 67.38
Fractional positions:
Tb1 0.000 0.000 0.000
Zn1 0.000 0.500 0.000
Zn2 0.500 0.500 0.000
Zn3 0.000 0.000 0.500
Zn4 0.500 0.000 0.500
Zn5 0.500 0.759 0.241
Zn6 0.500 0.241 0.759
Pd1 0.340 0.660 0.660
Pd2 0.660 0.340 0.340
Pd3 0.000 0.344 0.656
Pd4 0.000 0.656 0.344
Pd5 0.318 0.182 0.182
Pd6 0.682 0.818 0.818

=====

Question: What is the mass density in the first record?
Answer: 7.97 Mg/m³

=====

What did the first record say?
Below is a relaxed Tb12ZnPd6 crystal, with properties calculated at the PBE level.

* DFT total energy: -96.16 eV for the cell shown
* energy relative to the elements: -41 kJ/mol of atoms
* size of the total moment: 0.00 μB per cell
* DOS(E_F): 19.761 states/eV per cell
* calculated volume: 28.6 Å³/atom
* mass density: 7.97 Mg/m³
* space group: R-3 (148)

abc: 8.390 8.390 8.390
angles: 102.16 102.16 102.16
Fractional positions:
Tb1 0.828 0.589 0.436
Tb2 0.436 0.828 0.589
Tb3 0.589 0.436 0.828
Tb4 0.172 0.411 0.564
Tb5 0.564 0.172 0.411
Tb6 0.411 0.564 0.172
Tb7 0.076 0.942 0.326
Tb8 0.058 0.674 0.924
Tb9 0.674 0.924 0.058
Tb10 0.924 0.058 0.674
Tb11 0.942 0.326 0.076
Tb12 0.326 0.076 0.942
Zn1 0.000 0.000 0.000
Pd1 0.682 0.860 0.379
Pd2 0.621 0.318 0.140
Pd3 0.140 0.621 0.318
Pd4 0.318 0.140 0.621
Pd5 0.379 0.682 0.860
Pd6 0.860 0.379 0.682

=====

Question: Look up the mass density of the first one.
Answer: 7.97 Mg/m³